Here is a geometry-optimized Fe3PF structure from Alexandria. Energies are from PBE+U.

Unit cell a=4.475 b=4.475 c=4.475 alpha=90.00 beta=90.00 gamma=90.00
Element x y z (fractional)
Fe (0.000, 0.500, 0.000)
Fe (0.500, 0.000, 0.000)
Fe (0.000, 0.000, 0.500)
P (0.000, 0.000, 0.000)
F (0.500, 0.500, 0.500)

Values from the calculation:
E above lowest polymorph ... 0.000 eV per atom